Computed, not measured: Ca2ZnTe at its PBEsol-relaxed geometry at the meta-GGA SCAN level of DFT.

Cell lengths 4.3505, 4.3505, 7.6889 Å; angles 106.14, 106.14, 59.60 degrees
With the nearest neighbours (Å) after each atom.
Fractional coordinates of all 4 atoms:
Ca 0.2497 0.2497 0.2474  3 Zn 3.08-3.09, 3 Te 3.11
Ca 0.7503 0.7503 0.7526  3 Zn 3.08-3.09, 3 Te 3.11
Zn 0.5000 0.5000 0.0000  6 Ca 3.08-3.09
Te 0.0000 0.0000 0.5000  6 Ca 3.11

Properties
Size of the total moment ... 0.0009 μB per atom
ΔE_f (raw) ... -0.802 eV per atom
VASP energy ... -18.33 eV/atom